[1]
Compound: NbP4Se3Cl5
Source: Alexandria via LeMat-Bulk
Functional: GGA-PBEsol
Structure: optimized geometry

Unit cell a=11.885 b=13.048 c=18.469 alpha=90.00 beta=90.00 gamma=90.00
Fractional positions:
1 Nb 0.162 0.072 0.761
2 Nb 0.838 0.428 0.261
3 Nb 0.838 0.928 0.239
4 Nb 0.162 0.572 0.739
5 Nb 0.338 0.072 0.261
6 Nb 0.662 0.428 0.761
7 Nb 0.662 0.928 0.739
8 Nb 0.338 0.572 0.239
9 P 0.087 0.155 0.890
10 P 0.913 0.345 0.390
11 P 0.913 0.845 0.110
12 P 0.087 0.655 0.610
13 P 0.912 0.173 0.929
14 P 0.088 0.327 0.429
15 P 0.088 0.827 0.071
16 P 0.912 0.673 0.571
17 P 0.014 0.312 0.898
18 P 0.986 0.188 0.398
19 P 0.986 0.688 0.102
20 P 0.014 0.812 0.602
21 P 0.105 0.222 0.066
22 P 0.895 0.278 0.566
23 P 0.895 0.778 0.934
24 P 0.105 0.722 0.434
25 P 0.413 0.155 0.390
26 P 0.587 0.345 0.890
27 P 0.587 0.845 0.610
28 P 0.413 0.655 0.110
29 P 0.588 0.173 0.429
30 P 0.412 0.327 0.929
31 P 0.412 0.827 0.571
32 P 0.588 0.673 0.071
33 P 0.486 0.312 0.398
34 P 0.514 0.188 0.898
35 P 0.514 0.688 0.602
36 P 0.486 0.812 0.102
37 P 0.395 0.222 0.566
38 P 0.605 0.278 0.066
39 P 0.605 0.778 0.434
40 P 0.395 0.722 0.934
41 Se 0.201 0.129 0.984
42 Se 0.799 0.371 0.484
43 Se 0.799 0.871 0.016
44 Se 0.201 0.629 0.516
45 Se 0.931 0.155 0.049
46 Se 0.069 0.345 0.549
47 Se 0.069 0.845 0.951
48 Se 0.931 0.655 0.451
49 Se 0.086 0.370 0.003
50 Se 0.914 0.130 0.503
51 Se 0.914 0.630 0.997
52 Se 0.086 0.870 0.497
53 Se 0.299 0.129 0.484
54 Se 0.701 0.371 0.984
55 Se 0.701 0.871 0.516
56 Se 0.299 0.629 0.016
57 Se 0.569 0.155 0.549
58 Se 0.431 0.345 0.049
59 Se 0.431 0.845 0.451
60 Se 0.569 0.655 0.951
61 Se 0.414 0.370 0.503
62 Se 0.586 0.130 0.003
63 Se 0.586 0.630 0.497
64 Se 0.414 0.870 0.997
65 Cl 0.226 0.010 0.653
66 Cl 0.774 0.490 0.153
67 Cl 0.774 0.990 0.347
68 Cl 0.226 0.510 0.847
69 Cl 0.029 0.945 0.786
70 Cl 0.971 0.555 0.286
71 Cl 0.971 0.055 0.214
72 Cl 0.029 0.445 0.714
73 Cl 0.287 0.989 0.840
74 Cl 0.713 0.511 0.340
75 Cl 0.713 0.011 0.160
76 Cl 0.287 0.489 0.660
77 Cl 0.274 0.218 0.767
78 Cl 0.726 0.282 0.267
79 Cl 0.726 0.782 0.233
80 Cl 0.274 0.718 0.733
81 Cl 0.016 0.174 0.718
82 Cl 0.984 0.326 0.218
83 Cl 0.984 0.826 0.282
84 Cl 0.016 0.674 0.782
85 Cl 0.274 0.010 0.153
86 Cl 0.726 0.490 0.653
87 Cl 0.726 0.990 0.847
88 Cl 0.274 0.510 0.347
89 Cl 0.471 0.945 0.286
90 Cl 0.529 0.555 0.786
91 Cl 0.529 0.055 0.714
92 Cl 0.471 0.445 0.214
93 Cl 0.213 0.989 0.340
94 Cl 0.787 0.511 0.840
95 Cl 0.787 0.011 0.660
96 Cl 0.213 0.489 0.160
97 Cl 0.226 0.218 0.267
98 Cl 0.774 0.282 0.767
99 Cl 0.774 0.782 0.733
100 Cl 0.226 0.718 0.233
101 Cl 0.484 0.174 0.218
102 Cl 0.516 0.326 0.718
103 Cl 0.516 0.826 0.782
104 Cl 0.484 0.674 0.282

crystal system = orthorhombic
space-group type = Pbca
total DFT energy (no corrections) = -502.62 eV/cell

[2]
Compound: Ca2Ti2In
Source: Alexandria via LeMat-Bulk
Functional: GGA-PBEsol
Structure: optimized geometry

Unit cell a=3.483 b=3.483 c=10.887 alpha=99.20 beta=99.20 gamma=90.00
Fractional positions:
1 Ca 0.392 0.392 0.784
2 Ca 0.608 0.608 0.216
3 Ti 0.250 0.750 0.500
4 Ti 0.750 0.250 0.500
5 In 0.000 0.000 0.000

crystal system = tetragonal
space-group type = I4/mmm
formation energy = 0.20 eV per atom

[3]
Compound: Fe3CuBi
Source: Alexandria via LeMat-Bulk
Functional: GGA-PBEsol
Structure: optimized geometry

Unit cell a=4.382 b=4.382 c=4.382 alpha=90.00 beta=90.00 gamma=90.00
Last column: magnetic moment on the atom in μB.
Fractional positions:
1 Bi 0.500 0.500 0.500  -0.08
2 Cu 0.000 0.000 0.000  0.23
3 Fe 0.000 0.500 0.000  2.81
4 Fe 0.000 0.000 0.500  2.81
5 Fe 0.500 0.000 0.000  2.81

crystal system = cubic
space-group type = Pm-3m
formation energy = 1.00 eV per atom